The following is a DFT calculation (GGA-PBE) of RbAcSe4 after structural relaxation.

a b c (Å): 6.1222 6.1222 6.1222
angles (deg): 60.00 60.00 60.00
Closest atoms and distances in Å follow each position.
Element x y z (fractional)
Ac: 0.0000 0.0000 0.0000  12 Se 3.59, 4 Rb 3.75
Se: 0.6255 0.6255 0.1234  6 Se 3.05-3.07
Se: 0.6255 0.1234 0.6255  6 Se 3.05-3.07
Se: 0.6255 0.6255 0.6255  6 Se 3.05-3.07
Se: 0.1234 0.6255 0.6255  6 Se 3.05-3.07
Rb: 0.2500 0.2500 0.2500  12 Se 3.59, 4 Ac 3.75

Results
As for the formation energy from raw total energies: -503 meV/atom. As for the density: 6430 kg/m³. As for the crystal system: cubic. For the size of the total moment, the calculation gives 0.000 μB per atom. The electronic total energy is -22.03 eV per cell.